Run i
Material: LaCdTeN2
Method: DFT, GGA-PBE
State: relaxed

Computed properties:
The symmetry is P4/mmm. The crystal system is tetragonal.

Cell lengths 4.500, 4.500, 5.498 Å; angles 90.00, 90.00, 90.00 degrees
Element x y z (fractional)
La 0.000 0.000 0.000
Cd 0.500 0.500 0.500
Te 0.500 0.500 0.000
N 0.000 0.500 0.500
N 0.500 0.000 0.500

Run ii
Material: LaCdTeN2
Method: DFT, GGA-PBE
State: relaxed

Computed properties:
The symmetry is P4/mmm. The crystal system is tetragonal.

Cell lengths 4.318, 4.318, 6.987 Å; angles 90.00, 90.00, 90.00 degrees
Element x y z (fractional)
La 0.000 0.000 0.000
Cd 0.500 0.500 0.500
Te 0.000 0.000 0.500
N 0.000 0.500 0.000
N 0.500 0.000 0.000

Most stable one: run ii, least stable one: run i.

Run i
Material: Na2La2Cd
Method: DFT, GGA-PBE
State: relaxed

Computed properties:
The symmetry is P4/mbm. The crystal system is tetragonal.

Cell lengths 8.062, 8.062, 5.850 Å; angles 90.00, 90.00, 90.00 degrees
Element x y z (fractional)
Na 0.171 0.329 0.000
Na 0.329 0.829 0.000
Na 0.671 0.171 0.000
Na 0.829 0.671 0.000
La 0.129 0.629 0.500
La 0.371 0.129 0.500
La 0.629 0.871 0.500
La 0.871 0.371 0.500
Cd 0.000 0.000 0.500
Cd 0.500 0.500 0.500

Run ii
Material: Na2La2Cd
Method: DFT, GGA-PBE
State: relaxed

Computed properties:
The symmetry is P4/mbm. The crystal system is tetragonal.

Cell lengths 7.464, 7.464, 5.728 Å; angles 90.00, 90.00, 90.00 degrees
Element x y z (fractional)
Na 0.135 0.365 0.000
Na 0.365 0.865 0.000
Na 0.635 0.135 0.000
Na 0.865 0.635 0.000
La 0.178 0.678 0.500
La 0.322 0.178 0.500
La 0.678 0.822 0.500
La 0.822 0.322 0.500
Cd 0.000 0.000 0.000
Cd 0.500 0.500 0.000

Most stable one: run ii, least stable one: run i.

Run i
Material: NaLa2Cd2
Method: DFT, GGA-PBE
State: relaxed

Computed properties:
The symmetry is I4/mmm. The crystal system is tetragonal.

Cell lengths 8.263, 8.263, 8.263 Å; angles 146.49, 146.49, 48.13 degrees
Element x y z (fractional)
Na 0.000 0.000 0.000
La 0.250 0.750 0.500
La 0.750 0.250 0.500
Cd 0.407 0.407 0.000
Cd 0.593 0.593 0.000

Run ii
Material: NaLa2Cd2
Method: DFT, GGA-PBE
State: relaxed

Computed properties:
The symmetry is P4/mbm. The crystal system is tetragonal.

Cell lengths 9.553, 9.553, 3.516 Å; angles 90.00, 90.00, 90.00 degrees
Element x y z (fractional)
Na 0.000 0.000 0.000
Na 0.500 0.500 0.000
La 0.120 0.380 0.000
La 0.380 0.880 0.000
La 0.620 0.120 0.000
La 0.880 0.620 0.000
Cd 0.174 0.674 0.500
Cd 0.326 0.174 0.500
Cd 0.674 0.826 0.500
Cd 0.826 0.326 0.500

Run iii
Material: NaLa2Cd2
Method: DFT, GGA-PBE
State: relaxed

Computed properties:
The symmetry is P4/mbm. The crystal system is tetragonal.

Cell lengths 9.440, 9.440, 3.560 Å; angles 90.00, 90.00, 90.00 degrees
Element x y z (fractional)
Na 0.000 0.000 0.000
Na 0.500 0.500 0.000
La 0.172 0.328 0.500
La 0.328 0.828 0.500
La 0.672 0.172 0.500
La 0.828 0.672 0.500
Cd 0.122 0.622 0.000
Cd 0.378 0.122 0.000
Cd 0.622 0.878 0.000
Cd 0.878 0.378 0.000

Most stable one: run iii, least stable one: run i.

Run i
Material: NaLaCd
Method: DFT, GGA-PBE
State: relaxed

Computed properties:
The symmetry is P3m1. The crystal system is trigonal.

Cell lengths 5.452, 5.452, 3.397 Å; angles 90.00, 90.00, 120.00 degrees
Element x y z (fractional)
Na 0.000 0.000 0.000
La 0.333 0.667 0.499
Cd 0.667 0.333 0.997

Run ii
Material: NaLaCd
Method: DFT, GGA-PBE
State: relaxed

Computed properties:
The symmetry is I4mm. The crystal system is tetragonal.

Cell lengths 7.943, 7.943, 7.943 Å; angles 154.27, 154.27, 36.71 degrees
Element x y z (fractional)
Na 0.000 0.000 0.000
La 0.292 0.292 0.000
Cd 0.645 0.645 0.000

Most stable one: run i, least stable one: run ii.

Run i
Material: NaLaCd4
Method: DFT, GGA-PBE
State: relaxed

Computed properties:
The symmetry is F-43m. The crystal system is cubic.

Cell lengths 6.035, 6.035, 6.035 Å; angles 60.00, 60.00, 60.00 degrees
Element x y z (fractional)
Na 0.000 0.000 0.000
La 0.750 0.750 0.750
Cd 0.375 0.375 0.375
Cd 0.375 0.375 0.875
Cd 0.375 0.875 0.375
Cd 0.875 0.375 0.375

Run ii
Material: NaLaCd4
Method: DFT, GGA-PBE
State: relaxed

Computed properties:
The symmetry is P-1. The crystal system is triclinic.

Cell lengths 5.078, 5.078, 7.034 Å; angles 89.66, 89.56, 60.02 degrees
Element x y z (fractional)
Na 0.000 0.000 0.000
La 0.000 0.000 0.500
Cd 0.332 0.333 0.757
Cd 0.334 0.334 0.243
Cd 0.666 0.666 0.757
Cd 0.668 0.667 0.243

Most stable one: run ii, least stable one: run i.

Run i
Material: NaLa2CdRh
Method: DFT, GGA-PBE
State: relaxed

Computed properties:
The symmetry is P4/mmm. The crystal system is tetragonal.

Cell lengths 5.407, 5.407, 5.587 Å; angles 90.00, 90.00, 90.00 degrees
Element x y z (fractional)
Na 0.000 0.000 0.000
La 0.000 0.500 0.500
La 0.500 0.000 0.500
Cd 0.500 0.500 0.000
Rh 0.000 0.000 0.500

Run ii
Material: NaLa2CdRh
Method: DFT, GGA-PBE
State: relaxed

Computed properties:
The symmetry is P4/mmm. The crystal system is tetragonal.

Cell lengths 5.493, 5.493, 5.433 Å; angles 90.00, 90.00, 90.00 degrees
Element x y z (fractional)
Na 0.000 0.000 0.000
La 0.000 0.500 0.500
La 0.500 0.000 0.500
Cd 0.500 0.500 0.000
Rh 0.500 0.500 0.500

Most stable one: run ii, least stable one: run i.

Run i
Material: La7Nd2Cd2
Method: DFT, GGA-PBE
State: relaxed

Computed properties:
The symmetry is C2/m. The crystal system is monoclinic.

Cell lengths 6.929, 6.929, 8.132 Å; angles 97.49, 97.49, 96.93 degrees
Element x y z (fractional)
La 0.000 0.000 0.000
La 0.090 0.528 0.818
La 0.335 0.335 0.515
La 0.472 0.910 0.182
La 0.528 0.090 0.818
La 0.665 0.665 0.485
La 0.910 0.472 0.182
Nd 0.166 0.834 0.500
Nd 0.834 0.166 0.500
Cd 0.391 0.391 0.126
Cd 0.609 0.609 0.874

Run ii
Material: La7Nd2Cd2
Method: DFT, GGA-PBE
State: relaxed

Computed properties:
The symmetry is Imm2. The crystal system is orthorhombic.

Cell lengths 10.808, 10.808, 10.808 Å; angles 159.94, 68.67, 115.11 degrees
Element x y z (fractional)
La 0.000 0.000 0.000
La 0.131 0.781 0.349
La 0.432 0.781 0.651
La 0.454 0.560 0.894
La 0.632 0.310 0.322
La 0.665 0.560 0.106
La 0.988 0.310 0.678
Nd 0.267 0.046 0.220
Nd 0.826 0.046 0.780
Cd 0.304 0.304 0.000
Cd 0.750 0.250 0.500

Most stable one: run ii, least stable one: run i.

Run i
Material: La4NdCd
Method: DFT, GGA-PBE
State: relaxed

Computed properties:
The symmetry is P4/mmm. The crystal system is tetragonal.

Cell lengths 3.782, 3.782, 14.391 Å; angles 90.00, 90.00, 90.00 degrees
Element x y z (fractional)
La 0.000 0.000 0.147
La 0.000 0.000 0.853
La 0.500 0.500 0.322
La 0.500 0.500 0.678
Nd 0.000 0.000 0.500
Cd 0.500 0.500 0.000

Run ii
Material: La4NdCd
Method: DFT, GGA-PBE
State: relaxed

Computed properties:
The symmetry is Cmc2_1. The crystal system is orthorhombic.

Cell lengths 10.988, 10.988, 6.651 Å; angles 90.00, 90.00, 149.18 degrees
Element x y z (fractional)
La 0.043 0.957 0.500
La 0.190 0.810 0.347
La 0.257 0.743 0.753
La 0.441 0.559 0.686
La 0.559 0.441 0.186
La 0.743 0.257 0.253
La 0.810 0.190 0.847
La 0.957 0.043 0.000
Nd 0.367 0.633 0.197
Nd 0.633 0.367 0.697
Cd 0.110 0.890 0.943
Cd 0.890 0.110 0.443

Most stable one: run i, least stable one: run ii.

Run i
Material: La5NdCd
Method: DFT, GGA-PBE
State: relaxed

Computed properties:
The symmetry is P4/mmm. The crystal system is tetragonal.

Cell lengths 5.277, 5.277, 9.224 Å; angles 90.00, 90.00, 90.00 degrees
Element x y z (fractional)
La 0.000 0.000 0.000
La 0.000 0.500 0.281
La 0.000 0.500 0.719
La 0.500 0.000 0.281
La 0.500 0.000 0.719
Nd 0.500 0.500 0.000
Cd 0.000 0.000 0.500

Run ii
Material: La5NdCd
Method: DFT, GGA-PBE
State: relaxed

Computed properties:
The symmetry is C2/c. The crystal system is monoclinic.

Cell lengths 6.261, 6.261, 12.817 Å; angles 99.14, 99.14, 89.21 degrees
Element x y z (fractional)
La 0.014 0.289 0.566
La 0.031 0.383 0.864
La 0.142 0.858 0.750
La 0.289 0.014 0.066
La 0.383 0.031 0.364
La 0.617 0.969 0.636
La 0.711 0.986 0.934
La 0.858 0.142 0.250
La 0.969 0.617 0.136
La 0.986 0.711 0.434
Nd 0.473 0.527 0.250
Nd 0.527 0.473 0.750
Cd 0.500 0.500 0.000
Cd 0.500 0.500 0.500

Most stable one: run ii, least stable one: run i.

Run i
Material: LaNd6Cd2
Method: DFT, GGA-PBE
State: relaxed

Computed properties:
The symmetry is C2/c. The crystal system is monoclinic.

Cell lengths 9.914, 9.914, 6.240 Å; angles 95.33, 95.33, 72.69 degrees
Element x y z (fractional)
La 0.109 0.891 0.750
La 0.891 0.109 0.250
Nd 0.031 0.732 0.192
Nd 0.103 0.353 0.335
Nd 0.268 0.969 0.308
Nd 0.323 0.561 0.491
Nd 0.353 0.103 0.835
Nd 0.439 0.677 0.009
Nd 0.561 0.323 0.991
Nd 0.647 0.897 0.165
Nd 0.677 0.439 0.509
Nd 0.732 0.031 0.692
Nd 0.897 0.647 0.665
Nd 0.969 0.268 0.808
Cd 0.209 0.463 0.905
Cd 0.463 0.209 0.405
Cd 0.537 0.791 0.595
Cd 0.791 0.537 0.095

Run ii
Material: LaNd6Cd2
Method: DFT, GGA-PBE
State: relaxed

Computed properties:
The symmetry is C2/m. The crystal system is monoclinic.

Cell lengths 6.803, 6.803, 12.344 Å; angles 107.58, 107.58, 33.06 degrees
Element x y z (fractional)
La 0.000 0.000 0.000
Nd 0.019 0.019 0.338
Nd 0.313 0.313 0.415
Nd 0.316 0.316 0.124
Nd 0.684 0.684 0.876
Nd 0.687 0.687 0.585
Nd 0.981 0.981 0.662
Cd 0.349 0.349 0.789
Cd 0.651 0.651 0.211

Most stable one: run ii, least stable one: run i.

Run i
Material: La2NdCd2
Method: DFT, GGA-PBE
State: relaxed

Computed properties:
The symmetry is P2_1/m. The crystal system is monoclinic.

Cell lengths 3.841, 5.596, 14.641 Å; angles 90.00, 97.55, 90.00 degrees
Element x y z (fractional)
La 0.043 0.250 0.086
La 0.233 0.250 0.469
La 0.767 0.750 0.531
La 0.957 0.750 0.914
Nd 0.150 0.750 0.297
Nd 0.850 0.250 0.703
Cd 0.362 0.750 0.722
Cd 0.443 0.250 0.888
Cd 0.557 0.750 0.112
Cd 0.638 0.250 0.278

Run ii
Material: La2NdCd2
Method: DFT, GGA-PBE
State: relaxed

Computed properties:
The symmetry is Ibam. The crystal system is orthorhombic.

Cell lengths 8.089, 8.089, 8.089 Å; angles 115.12, 81.96, 135.66 degrees
Element x y z (fractional)
La 0.216 0.146 0.362
La 0.284 0.646 0.930
La 0.716 0.354 0.070
La 0.784 0.854 0.638
Nd 0.250 0.750 0.500
Nd 0.750 0.250 0.500
Cd 0.055 0.840 0.895
Cd 0.445 0.340 0.785
Cd 0.555 0.660 0.215
Cd 0.945 0.160 0.105

Most stable one: run i, least stable one: run ii.